[1]
Density functional theory data (PBE-GGA) for a relaxed Y2TcOs crystal.

Cell lengths 3.1032, 4.4614, 5.8077 Å; angles 90.00, 98.46, 90.00 degrees
Closest atoms and distances in Å follow each position.
Space group P2/m (No. 10)
One atom of each set of equivalent atoms:
Y (0.2418, 0.0000, 0.2486)  2 Tc 2.83, 2 Os 2.84, 4 Y 3.05-3.12
Tc (0.0000, 0.5000, 0.5000)  4 Y 2.83, 2 Os 3.08, 2 Tc 3.10
Os (0.5000, 0.5000, 0.0000)  4 Y 2.84, 2 Tc 3.08, 2 Os 3.10

Calculated values
The calculated formation energy is 0.313 eV/atom. The value obtained for the total magnetization is 0.0 μB per cell.

---

[2]
Density functional theory data (PBE-GGA) for a relaxed ZnTc4Os crystal.

Cell lengths 7.1646, 7.1646, 7.1646 Å; angles 90.00, 90.00, 90.00 degrees
Closest atoms and distances in Å follow each position.
Space group F-43m (No. 216)
One atom of each set of equivalent atoms:
Zn (0.0000, 0.0000, 0.0000)  12 Tc 2.97, 4 Os 3.10
Tc (0.1261, 0.1261, 0.3739)  6 Tc 2.51-2.56
Os (0.2500, 0.2500, 0.7500)  12 Tc 2.97, 4 Zn 3.10

Calculated values
The calculated formation energy is 0.453 eV/atom. The value obtained for the total magnetization is 0.0 μB per cell.

---

[3]
Density functional theory data (PBE-GGA) for a relaxed ZnTcOs2 crystal.

Cell lengths 2.7747, 2.7747, 7.4519 Å; angles 90.00, 90.00, 90.00 degrees
Closest atoms and distances in Å follow each position.
Space group P4/mmm (No. 123)
One atom of each set of equivalent atoms:
Zn (0.0000, 0.0000, 0.0000)  8 Os 2.73, 4 Zn 2.77
Tc (0.0000, 0.0000, 0.5000)  8 Os 2.69, 4 Tc 2.77
Os (0.5000, 0.5000, 0.2538)  4 Tc 2.69, 4 Zn 2.73, 4 Os 2.77

Calculated values
The calculated formation energy is 0.163 eV/atom. The value obtained for the total magnetization is 0.0 μB per cell.

---

[4]
Density functional theory data (PBE-GGA) for a relaxed ZnTcOs2 crystal.

Cell lengths 5.3778, 7.7820, 2.7517 Å; angles 90.00, 90.00, 90.00 degrees
Closest atoms and distances in Å follow each position.
Space group Cmmm (No. 65)
One atom of each set of equivalent atoms:
Zn (0.0000, 0.0000, 0.0000)  2 Tc 2.69, 8 Os 2.74, 2 Zn 2.75
Tc (0.0000, 0.5000, 0.0000)  2 Zn 2.69, 8 Os 2.74, 2 Tc 2.75
Os (0.2500, 0.2500, 0.5000)  4 Os 2.69-2.75, 4 Tc 2.74, 4 Zn 2.74

Calculated values
The calculated formation energy is 0.348 eV/atom. The value obtained for the total magnetization is 0.0 μB per cell.